A plane-wave DFT calculation with PBEsol was carried out for a relaxed ScOsN2F crystal.

SG: No. 123
Raw total energy: -7.00 eV per atom
Total magnetization: 2.940 μB/cell
Energy relative to the elements, uncorrected: 0.556 eV per atom

Cell: 4.1467 4.1467 3.7094 Å, 90.00 90.00 90.00°
Element x y z (fractional)
Sc: 0.0000 0.0000 0.0000
Os: 0.5000 0.5000 0.5000
N: 0.0000 0.5000 0.0000
N: 0.5000 0.0000 0.0000
F: 0.0000 0.0000 0.5000